# Li4Zn2AgGe

Crystalline Li4Zn2AgGe at its relaxed geometry (PBE-GGA, OQMD).

Lattice parameters (Å, degrees): 4.309 4.309 6.397 90.00 90.00 90.00
Atoms (fractional coordinates):
Li (0.000, 0.000, 0.000)
Li (0.000, 0.500, 0.247)
Li (0.500, 0.000, 0.753)
Li (0.500, 0.500, 0.500)
Zn (0.000, 0.500, 0.756)
Zn (0.500, 0.000, 0.244)
Ag (0.000, 0.000, 0.500)
Ge (0.500, 0.500, 0.000)

Results
SG = P-4m2 (115)

---

# LuAg2Ge

Crystalline LuAg2Ge at its relaxed geometry (PBE-GGA, OQMD).

Lattice parameters (Å, degrees): 4.806 4.806 4.806 60.00 60.00 60.00
Atoms (fractional coordinates):
Lu (0.000, 0.000, 0.000)
Ag (0.250, 0.250, 0.250)
Ag (0.500, 0.500, 0.500)
Ge (0.750, 0.750, 0.750)

Results
SG = F-43m (216)

---

# LuAgGe2

Crystalline LuAgGe2 at its relaxed geometry (PBE-GGA, OQMD).

Lattice parameters (Å, degrees): 4.873 4.873 4.873 60.00 60.00 60.00
Atoms (fractional coordinates):
Lu (0.000, 0.000, 0.000)
Ag (0.250, 0.250, 0.250)
Ge (0.500, 0.500, 0.500)
Ge (0.750, 0.750, 0.750)

Results
SG = F-43m (216)

---

# LuNiAgGe

Crystalline LuNiAgGe at its relaxed geometry (PBE-GGA, OQMD).

Lattice parameters (Å, degrees): 4.615 4.615 4.615 60.00 60.00 60.00
Atoms (fractional coordinates):
Lu (0.000, 0.000, 0.000)
Ni (0.500, 0.500, 0.500)
Ag (0.750, 0.750, 0.750)
Ge (0.250, 0.250, 0.250)

Results
SG = F-43m (216)

---

Number 1: energy -2.495 eV per atom. Number 2: energy -3.987 eV per atom. Number 3: energy -4.279 eV per atom. Number 4: energy -4.646 eV per atom.